Compound: SrAgAs
Source: the Alexandria database
Functional: PBE-GGA
Structure: optimized geometry

```
3
Lattice="5.284 -0.532 0.000 2.324 4.775 0.000 -3.804 -2.122 3.038" Properties=species:S:1:pos:R:3 pbc="T T T"
As 2.410 1.344 0.000
Sr 5.082 2.834 0.000
Ag 0.116 0.065 0.000
```

Summary:
- E: -3.4400 eV per atom
- Space group: I4mm, No. 107
- Total moment: 0.00 μB/f.u.


Compound: Sr4AgAs
Source: the Alexandria database
Functional: PBE-GGA
Structure: optimized geometry

```
6
Lattice="1.137 -6.808 0.856 2.118 -2.424 6.165 -4.323 -3.782 3.922" Properties=species:S:1:pos:R:3 pbc="T T T"
Sr 0.667 -6.089 7.198
Sr 0.173 -8.296 4.525
Sr -0.400 -4.868 4.094
Sr -2.577 -6.772 6.069
As 0.000 0.000 0.000
Ag -0.801 -9.760 8.207
```

Summary:
- E: -1.9486 eV per atom
- Space group: F-43m, No. 216
- Total moment: 0.00 μB/f.u.


Compound: SrAgAs
Source: the Alexandria database
Functional: PBE-GGA
Structure: optimized geometry

```
18
Lattice="4.512 0.000 0.000 0.000 7.545 0.032 0.000 0.031 12.858" Properties=species:S:1:pos:R:3 pbc="T T T"
As 1.128 5.763 11.730
As 1.128 1.779 5.462
As 3.384 2.052 9.670
As 3.384 5.798 7.428
As 1.128 5.524 3.220
As 3.384 1.814 1.160
Sr 1.128 3.627 8.049
Sr 1.128 2.575 11.845
Sr 3.384 3.949 4.841
Sr 1.128 7.396 9.071
Sr 3.384 0.180 3.819
Sr 3.384 5.001 1.045
Ag 1.128 7.511 1.190
Ag 3.384 4.921 10.235
Ag 3.384 0.066 11.700
Ag 1.128 6.429 5.906
Ag 1.128 2.655 2.655
Ag 3.384 1.147 6.984
```

Summary:
- E: -3.8155 eV per atom
- Space group: P2_1/m, No. 11
- Total moment: 0.00 μB/f.u.


Compound: SrAg3As
Source: the Alexandria database
Functional: PBE-GGA
Structure: optimized geometry

```
5
Lattice="5.106 0.000 0.000 0.000 5.106 0.000 0.000 0.000 5.106" Properties=species:S:1:pos:R:3 pbc="T T T"
Ag 0.000 0.000 2.553
Ag 2.553 0.000 0.000
Ag 0.000 2.553 0.000
As 0.000 0.000 0.000
Sr 2.553 2.553 2.553
```

Summary:
- E: -2.9826 eV per atom
- Space group: Pm-3m, No. 221
- Total moment: 0.00 μB/f.u.
- Offset from the most stable computed form: 0.00 eV per formula unit


Compound: SrAgAs2
Source: the Alexandria database
Functional: PBE-GGA
Structure: optimized geometry

```
4
Lattice="4.223 0.000 0.000 0.000 4.406 -0.075 0.000 0.105 5.743" Properties=species:S:1:pos:R:3 pbc="T T T"
Sr 2.112 1.128 1.417
As 0.000 3.348 2.632
As 0.000 3.313 0.128
Ag 2.112 3.383 4.251
```

Summary:
- E: -3.9519 eV per atom
- Space group: P2/m, No. 10
- Total moment: 0.00 μB/f.u.


Compound: SrAg3As3
Source: the Alexandria database
Functional: PBE-GGA
Structure: optimized geometry

```
14
Lattice="7.199 0.000 0.000 0.000 7.199 0.000 0.000 0.000 7.199" Properties=species:S:1:pos:R:3 pbc="T T T"
As 1.800 0.000 3.599
As 0.000 3.599 5.399
As 3.599 5.399 0.000
As 3.599 1.800 0.000
As 0.000 3.599 1.800
As 5.399 0.000 3.599
Ag 0.000 5.399 3.599
Ag 1.800 3.599 0.000
Ag 3.599 0.000 1.800
Ag 3.599 0.000 5.399
Ag 5.399 3.599 0.000
Ag 0.000 1.800 3.599
Sr 3.599 3.599 3.599
Sr 0.000 0.000 0.000
```

Summary:
- E: -3.4648 eV per atom
- Space group: Pm-3n, No. 223
- Total moment: 0.00 μB/f.u.